Ba3AsO | meta-GGA SCAN | single point on PBEsol structure

a b c (Å): 5.2787 5.2787 5.2787
angles (deg): 90.00 90.00 90.00
Fractional positions:
Ba (0.0000, 0.0000, 0.5000)
Ba (0.0000, 0.5000, 0.0000)
Ba (0.5000, 0.0000, 0.0000)
As (0.5000, 0.5000, 0.5000)
O (0.0000, 0.0000, 0.0000)

Results
formation energy without anion corrections: -1.59 eV per atom
Fermi-level density of states: 2.29 states/eV/f.u.
space group: Pm-3m
total DFT energy (no corrections): -30.604 eV per atom